A plane-wave DFT calculation with PBE was carried out for Ta6Nb12Al after structural relaxation.

Geometry as POSCAR:
```
Ta6Nb12Al
1.0
5.033 2.906 4.076
-5.033 2.906 4.076
0.000 -5.811 4.076
Ta Nb Al
6 12 1
Direct
0.231 0.385 0.756
0.244 0.769 0.615
0.385 0.756 0.231
0.615 0.244 0.769
0.756 0.231 0.385
0.769 0.615 0.244
0.023 0.920 0.312
0.080 0.688 0.977
0.121 0.437 0.354
0.312 0.023 0.920
0.354 0.121 0.437
0.437 0.354 0.121
0.563 0.646 0.879
0.646 0.879 0.563
0.688 0.977 0.080
0.879 0.563 0.646
0.920 0.312 0.023
0.977 0.080 0.688
0.500 0.500 0.500
```

Summary:
- D(E_F) (states/eV per cell) = 20.94
- formation energy from the elements (kJ/mol of formula units) = 220
- symmetry = No. 148
- calculated volume (Å³/cell) = 357.6
- uncorrected energy (eV/atom) = -10.1799

---

A plane-wave DFT calculation with PBE was carried out for Ta2Nb3Al after structural relaxation.

Geometry as POSCAR:
```
Ta2Nb3Al
1.0
3.444 0.000 0.000
0.010 4.527 0.000
0.006 2.248 6.874
Ta Nb Al
2 3 1
Direct
0.000 0.163 0.176
0.000 0.837 0.824
0.500 0.000 0.500
0.500 0.331 0.836
0.500 0.669 0.164
0.000 0.500 0.500
```

Summary:
- D(E_F) (states/eV per cell) = 6.21
- formation energy from the elements (kJ/mol of formula units) = -59
- symmetry = No. 2
- calculated volume (Å³/cell) = 107.2
- uncorrected energy (eV/atom) = -9.7113

---

A plane-wave DFT calculation with PBE was carried out for Ta2Nb6Al after structural relaxation.

Geometry as POSCAR:
```
Ta2Nb6Al
1.0
3.616 -7.136 0.000
3.616 7.136 0.000
-0.576 0.000 3.190
Ta Nb Al
2 6 1
Direct
0.166 0.834 0.000
0.834 0.166 0.000
0.171 0.494 0.664
0.331 0.331 0.157
0.494 0.171 0.664
0.506 0.829 0.336
0.669 0.669 0.843
0.829 0.506 0.336
0.000 0.000 0.500
```

Summary:
- D(E_F) (states/eV per cell) = 10.51
- formation energy from the elements (kJ/mol of formula units) = 70
- symmetry = No. 12
- calculated volume (Å³/cell) = 164.6
- uncorrected energy (eV/atom) = -9.6821

---

A plane-wave DFT calculation with PBE was carried out for TaNbAlV after structural relaxation.

Geometry as POSCAR:
```
TaNbAlV
1.0
0.000 3.214 3.214
3.214 0.000 3.214
3.214 3.214 0.000
Ta Nb Al V
1 1 1 1
Direct
0.000 0.000 0.000
0.750 0.750 0.750
0.500 0.500 0.500
0.250 0.250 0.250
```

Summary:
- D(E_F) (states/eV per cell) = 2.16
- formation energy from the elements (kJ/mol of formula units) = -22
- symmetry = No. 216
- calculated volume (Å³/cell) = 66.4
- uncorrected energy (eV/atom) = -8.7525

---

A plane-wave DFT calculation with PBE was carried out for Tb6Nb4Al43 after structural relaxation.

Geometry as POSCAR:
```
Tb6Nb4Al43
1.0
11.135 0.000 0.000
-5.567 9.643 0.000
0.000 0.000 17.831
Tb Nb Al
12 8 86
Direct
0.000 0.471 0.096
0.000 0.471 0.404
0.000 0.529 0.596
0.000 0.529 0.904
0.471 0.000 0.096
0.471 0.000 0.404
0.471 0.471 0.596
0.471 0.471 0.904
0.529 0.000 0.596
0.529 0.000 0.904
0.529 0.529 0.096
0.529 0.529 0.404
0.000 0.000 0.000
0.000 0.000 0.500
0.000 0.273 0.250
0.000 0.727 0.750
0.273 0.000 0.250
0.273 0.273 0.750
0.727 0.000 0.750
0.727 0.727 0.250
0.000 0.148 0.750
0.000 0.159 0.115
0.000 0.159 0.385
0.000 0.256 0.529
0.000 0.256 0.971
0.000 0.744 0.029
0.000 0.744 0.471
0.000 0.841 0.615
0.000 0.841 0.885
0.000 0.852 0.250
0.148 0.000 0.750
0.148 0.148 0.250
0.149 0.555 0.250
0.149 0.594 0.750
0.158 0.395 0.663
0.158 0.395 0.837
0.158 0.763 0.163
0.158 0.763 0.337
0.159 0.000 0.115
0.159 0.000 0.385
0.159 0.159 0.615
0.159 0.159 0.885
0.237 0.395 0.163
0.237 0.395 0.337
0.237 0.842 0.663
0.237 0.842 0.837
0.247 0.494 0.000
0.247 0.494 0.500
0.247 0.753 0.000
0.247 0.753 0.500
0.256 0.000 0.529
0.256 0.000 0.971
0.256 0.256 0.029
0.256 0.256 0.471
0.333 0.667 0.125
0.333 0.667 0.375
0.333 0.667 0.625
0.333 0.667 0.875
0.395 0.158 0.663
0.395 0.158 0.837
0.395 0.237 0.163
0.395 0.237 0.337
0.406 0.555 0.750
0.406 0.851 0.250
0.445 0.594 0.250
0.445 0.851 0.750
0.494 0.247 0.000
0.494 0.247 0.500
0.506 0.753 0.000
0.506 0.753 0.500
0.555 0.149 0.250
0.555 0.406 0.750
0.594 0.149 0.750
0.594 0.445 0.250
0.605 0.763 0.663
0.605 0.763 0.837
0.605 0.842 0.163
0.605 0.842 0.337
0.667 0.333 0.125
0.667 0.333 0.375
0.667 0.333 0.625
0.667 0.333 0.875
0.744 0.000 0.029
0.744 0.000 0.471
0.744 0.744 0.529
0.744 0.744 0.971
0.753 0.247 0.000
0.753 0.247 0.500
0.753 0.506 0.000
0.753 0.506 0.500
0.763 0.158 0.163
0.763 0.158 0.337
0.763 0.605 0.663
0.763 0.605 0.837
0.841 0.000 0.615
0.841 0.000 0.885
0.841 0.841 0.115
0.841 0.841 0.385
0.842 0.237 0.663
0.842 0.237 0.837
0.842 0.605 0.163
0.842 0.605 0.337
0.851 0.406 0.250
0.851 0.445 0.750
0.852 0.000 0.250
0.852 0.852 0.750
```

Summary:
- D(E_F) (states/eV per cell) = 34.09
- formation energy from the elements (kJ/mol of formula units) = -1742
- symmetry = No. 193
- calculated volume (Å³/cell) = 1914.5
- uncorrected energy (eV/atom) = -4.6613

---

A plane-wave DFT calculation with PBE was carried out for Nb2AlTc after structural relaxation.

Geometry as POSCAR:
```
Nb2AlTc
1.0
3.337 0.000 0.000
0.000 3.337 0.000
0.000 0.000 5.973
Nb Al Tc
2 1 1
Direct
0.000 0.000 0.243
0.000 0.000 0.757
0.500 0.500 0.500
0.500 0.500 0.000
```

Summary:
- D(E_F) (states/eV per cell) = 2.84
- formation energy from the elements (kJ/mol of formula units) = -73
- symmetry = No. 123
- calculated volume (Å³/cell) = 66.5
- uncorrected energy (eV/atom) = -8.7505